Here is a relaxed structure of MoAs2O from Alexandria via LeMat-Bulk. Energies are from PBE+U.

Lattice parameters (Å, degrees): 6.2409 6.2409 7.6511 90.00 90.00 90.00
Closest atoms and distances in Å follow each position.
Space group I-42d (No. 122)
Asymmetric unit:
Mo1 0.0000 0.0000 0.0000 (multiplicity 4)  4 As 2.72
As1 0.1768 0.2500 0.6250 (multiplicity 8)  2 O 2.14
O1 0.0000 0.0000 0.5000 (multiplicity 4)  4 As 2.14

## Properties
Raw total energy ... -4.89 eV per atom
Volume ... 18.6 Å³/atom
Crystal system ... tetragonal
Mass density ... 5.8 Mg/m³